No. 1
YRu3 after structural relaxation, computed with PBE-GGA.

Output
Crystal system ... orthorhombic
Space-group type ... Cmmm (65)
Energy of formation ... 82 kJ/mol of formula units

a b c (Å): 4.8699 4.8699 2.9055
angles (deg): 90.00 90.00 107.66
Atoms (fractional coordinates):
Ru1 0.0000 0.0000 0.0000
Ru2 0.0000 0.5000 0.5000
Ru3 0.5000 0.0000 0.5000
Y1 0.5000 0.5000 0.0000


No. 2
LaSc2Si after structural relaxation, computed with PBE-GGA.

Output
Crystal system ... trigonal
Space-group type ... R3m (160)
E_form (uncorrected) ... -33 meV/atom

a b c (Å): 10.0249 10.0249 10.0249
angles (deg): 20.04 20.04 20.04
Atoms (fractional coordinates):
La1 0.7642 0.7642 0.7642
Sc1 0.9930 0.9930 0.9930
Sc2 0.2363 0.2363 0.2363
Si1 0.5065 0.5065 0.5065